Entry 1:
Entry from Alexandria via LeMat-Bulk: a relaxed FeNiAsBr2 crystal (PBE).

Summary:
Magnetization, μB/atom: 0.512
Crystal system: tetragonal
Distance to the lowest polymorph of the same formula, meV per atom: 84
D(E_F), states/eV/f.u.: 11.53

a = 5.0776 Å, b = 5.0776 Å, c = 4.4756 Å
α = 90.00°, β = 90.00°, γ = 90.00°
Each line ends with the local moment (μB).
Element x y z (fractional)
Br1 0.5000 0.0000 0.0000  0.01
Br2 0.0000 0.5000 0.0000  0.01
Ni1 0.5000 0.5000 0.5000  0.80
Fe1 0.0000 0.0000 0.0000  2.02
As1 0.0000 0.0000 0.5000  -0.20

---

Entry 2:
Entry from Alexandria via LeMat-Bulk: a relaxed FeNiAsBr2 crystal (PBE).

Summary:
Magnetization, μB/atom: 0.695
Crystal system: tetragonal
Distance to the lowest polymorph of the same formula, meV per atom: 0
D(E_F), states/eV/f.u.: 4.88

a = 4.9323 Å, b = 4.6350 Å, c = 4.9323 Å
α = 90.00°, β = 90.00°, γ = 90.00°
Each line ends with the local moment (μB).
Element x y z (fractional)
Br1 0.0000 0.0000 0.5000  0.02
Br2 0.5000 0.0000 0.0000  0.06
Fe1 0.5000 0.5000 0.5000  3.38
Ni1 0.0000 0.0000 0.0000  -0.08
As1 0.0000 0.5000 0.0000  -0.11